1.
Entry from Alexandria: a relaxed structure of AcMg2SnAu4 (GGA-PBE).

Calculated values
The space group is R-3m, No. 166. For the formation energy, the calculation gives -0.57 eV/atom.

Unit cell a=10.2955 b=10.2955 c=10.2955 alpha=25.87 beta=25.87 gamma=25.87
With the nearest neighbours (Å) after each atom.
Element x y z (fractional)
Ac  0.0000  0.0000  0.0000  8 Au 3.25-3.64
Mg  0.2381  0.2381  0.2381  6 Au 2.78-2.83
Mg  0.7619  0.7619  0.7619  6 Au 2.78-2.83
Sn  0.5000  0.5000  0.5000  8 Au 2.98-3.10
Au  0.1219  0.1219  0.1219  3 Mg 2.78, 3 Sn 2.98
Au  0.3961  0.3961  0.3961  3 Mg 2.83, 1 Sn 3.10
Au  0.6039  0.6039  0.6039  3 Mg 2.83, 1 Sn 3.10
Au  0.8781  0.8781  0.8781  3 Mg 2.78, 3 Sn 2.98

=====

2.
Entry from Alexandria: a relaxed structure of AcTbMg2Au4 (GGA-PBE).

Calculated values
The space group is R-3m, No. 166. For the formation energy, the calculation gives -0.75 eV/atom.

Unit cell a=9.8877 b=9.8877 c=9.8877 alpha=27.89 beta=27.89 gamma=27.89
With the nearest neighbours (Å) after each atom.
Element x y z (fractional)
Ac  0.0000  0.0000  0.0000  8 Au 3.28-3.35
Tb  0.5000  0.5000  0.5000  8 Au 2.96-3.09
Mg  0.2408  0.2408  0.2408  6 Au 2.84-2.88
Mg  0.7592  0.7592  0.7592  6 Au 2.84-2.88
Au  0.1175  0.1175  0.1175  3 Mg 2.84, 3 Tb 3.09, 3 Au 3.16
Au  0.3961  0.3961  0.3961  3 Mg 2.88, 1 Tb 2.96, 3 Au 3.16
Au  0.6039  0.6039  0.6039  3 Mg 2.88, 1 Tb 2.96, 3 Au 3.16
Au  0.8825  0.8825  0.8825  3 Mg 2.84, 3 Tb 3.09, 3 Au 3.16